DFT (PBE) results for a geometry-optimized GaBiI2O structure.

Cell lengths 6.3348, 6.3348, 4.3621 Å; angles 90.00, 90.00, 90.00 degrees
With the nearest neighbours (Å) after each atom.
Space group P4/mmm (No. 123)
Unique sites:
Ga 0.0000 0.0000 0.0000 [1 per cell]  8 I 3.85
Bi 0.5000 0.5000 0.5000 [1 per cell]  2 O 2.18
I 0.0000 0.5000 0.5000 [2 per cell]  2 Bi 3.17
O 0.5000 0.5000 0.0000 [1 per cell]  2 Bi 2.18

Computed properties:
spin magnetization	0.00	Bohr magnetons per cell
energy relative to the elements, uncorrected	-0.3414	eV/atom
crystal system	tetragonal
total DFT energy (no corrections)	-3.335	eV per atom



DFT (PBE) results for a geometry-optimized SmGe3Rh structure.

Cell lengths 6.0382, 5.7050, 5.8342 Å; angles 90.00, 90.00, 90.00 degrees
With the nearest neighbours (Å) after each atom.
Space group Pmn2_1 (No. 31)
Unique sites:
Sm 0.0000 0.1436 0.0000 [2 per cell]  7 Ge 2.91-3.19, 1 Rh 3.11
Ge 0.0000 0.9104 0.5559 [2 per cell]  1 Rh 2.39
Ge 0.2333 0.3213 0.4586 [4 per cell]  2 Rh 2.43-2.48
Rh 0.0000 0.6175 0.2637 [2 per cell]  5 Ge 2.39-2.48

Computed properties:
spin magnetization	0.00	Bohr magnetons per cell
energy of formation from the pure elements	-3.09	eV/f.u.
crystal system	orthorhombic
total DFT energy (no corrections)	-5.803	eV per atom



DFT (PBE) results for a geometry-optimized TmZr2C structure.

Cell lengths 3.3569, 3.3569, 25.0795 Å; angles 90.00, 90.00, 120.00 degrees
With the nearest neighbours (Å) after each atom.
Space group R-3m (No. 166, hexagonal axes)
Unique sites:
Tm 0.0000 0.0000 0.0000 [3 per cell]  6 Tm 3.36, 6 Zr 3.49
Zr 0.0000 0.0000 0.2176 [6 per cell]  3 C 2.32
C 0.0000 0.0000 0.5000 [3 per cell]  6 Zr 2.32

Computed properties:
spin magnetization	0.67	Bohr magnetons per cell
energy of formation from the pure elements	-1.51	eV/f.u.
crystal system	trigonal
total DFT energy (no corrections)	-8.075	eV per atom



DFT (PBE) results for a geometry-optimized SnSe2Cl8O2 structure.

Cell lengths 9.7358, 9.7449, 17.1011 Å; angles 90.00, 95.65, 90.00 degrees
With the nearest neighbours (Å) after each atom.
Space group C2/c (No. 15)
Unique sites:
Sn 0.0000 0.1958 0.2500 [4 per cell]  2 O 2.23, 4 Cl 2.39-2.45
Se 0.1612 0.0543 0.8632 [8 per cell]  1 O 1.70
Cl 0.0021 0.3562 0.3561 [8 per cell]  1 Sn 2.39
Cl 0.0782 0.2306 0.9234 [8 per cell]  1 Se 2.20
Cl 0.2440 0.0602 0.4684 [8 per cell]  1 Se 2.20
Cl 0.2494 0.1577 0.2586 [8 per cell]  1 Sn 2.45
O 0.0080 0.0230 0.3355 [8 per cell]  1 Se 1.70

Computed properties:
spin magnetization	0.37	Bohr magnetons per cell
energy relative to the elements, uncorrected	-0.6697	eV/atom
crystal system	monoclinic
total DFT energy (no corrections)	-3.413	eV per atom



DFT (PBE) results for a geometry-optimized La2TcSb structure.

Cell lengths 4.3957, 4.6882, 10.8637 Å; angles 90.00, 90.00, 90.00 degrees
With the nearest neighbours (Å) after each atom.
Space group Amm2 (No. 38)
Unique sites:
La 0.0000 0.0000 0.0000 [2 per cell]  3 Sb 3.22, 4 Tc 3.23
La 0.5000 0.0000 0.3101 [2 per cell]  1 Tc 2.35
Tc 0.5000 0.0000 0.5263 [2 per cell]  1 La 2.35
Sb 0.0000 0.0000 0.7035 [2 per cell]  2 Tc 2.92, 3 La 3.22

Computed properties:
spin magnetization	0.00	Bohr magnetons per cell
energy relative to the elements, uncorrected	-0.4477	eV/atom
crystal system	orthorhombic
total DFT energy (no corrections)	-6.533	eV per atom



DFT (PBE) results for a geometry-optimized Tb3Be2Pd9Au structure.

Cell lengths 5.8989, 5.8989, 9.5352 Å; angles 90.00, 90.00, 120.00 degrees
With the nearest neighbours (Å) after each atom.
Space group P-3m1 (No. 164)
Unique sites:
Tb 0.0000 0.0000 0.0000 [1 per cell]  12 Pd 2.95-3.02
Tb 0.3333 0.6667 0.7166 [2 per cell]  9 Pd 2.95-3.19
Be 0.3333 0.6667 0.1464 [2 per cell]  6 Pd 2.14-2.20
Pd 0.0000 0.5000 0.0000 [3 per cell]  2 Be 2.20
Pd 0.1576 0.3152 0.2684 [6 per cell]  1 Be 2.14
Au 0.0000 0.0000 0.5000 [1 per cell]  6 Pd 2.73

Computed properties:
spin magnetization	0.00	Bohr magnetons per cell
energy of formation from the pure elements	-9.11	eV/f.u.
crystal system	trigonal
total DFT energy (no corrections)	-5.365	eV per atom



DFT (PBE) results for a geometry-optimized PmAlZn2Cu structure.

Cell lengths 4.0405, 4.1857, 10.9603 Å; angles 90.00, 90.00, 90.00 degrees
With the nearest neighbours (Å) after each atom.
Space group Imm2 (No. 44)
Unique sites:
Pm 0.0000 0.0000 0.0000 [2 per cell]  8 Zn 3.15-3.52, 4 Cu 3.16, 4 Al 3.41-3.45
Al 0.0000 0.5000 0.7547 [2 per cell]  2 Cu 2.49, 2 Zn 2.62
Zn 0.0000 0.0000 0.6110 [2 per cell]  1 Cu 2.45, 2 Zn 2.58, 2 Al 2.62
Zn 0.0000 0.5000 0.2579 [2 per cell]  2 Cu 2.53, 2 Zn 2.58
Cu 0.0000 0.0000 0.3873 [2 per cell]  3 Zn 2.45-2.53, 2 Al 2.49

Computed properties:
spin magnetization	0.00	Bohr magnetons per cell
energy of formation from the pure elements	-1.73	eV/f.u.
crystal system	orthorhombic
total DFT energy (no corrections)	-3.374	eV per atom



DFT (PBE) results for a geometry-optimized Na2LaAu structure.

Cell lengths 7.4549, 7.4549, 7.4549 Å; angles 90.00, 90.00, 90.00 degrees
With the nearest neighbours (Å) after each atom.
Space group Fm-3m (No. 225)
Unique sites:
Na 0.2500 0.2500 0.2500 [8 per cell]  4 La 3.23, 4 Au 3.23
La 0.0000 0.0000 0.0000 [4 per cell]  8 Na 3.23
Au 0.0000 0.0000 0.5000 [4 per cell]  8 Na 3.23

Computed properties:
spin magnetization	0.00	Bohr magnetons per cell
energy of formation from the pure elements	0.28	eV/f.u.
crystal system	cubic
total DFT energy (no corrections)	-2.640	eV per atom



DFT (PBE) results for a geometry-optimized Tb6Ga3H structure.

Cell lengths 11.4732, 13.7008, 6.1798 Å; angles 90.00, 90.00, 90.00 degrees
With the nearest neighbours (Å) after each atom.
Space group Cmc2_1 (No. 36)
Unique sites:
Tb 0.0000 0.0876 0.0000 [4 per cell]  1 H 2.30
Tb 0.0000 0.3057 0.2650 [4 per cell]  1 H 2.23
Tb 0.1734 0.2938 0.7707 [8 per cell]  1 H 2.28
Tb 0.2261 0.4568 0.3197 [8 per cell]  4 Ga 3.03-3.10, 4 Tb 3.31-3.39
Ga 0.0000 0.4799 0.5841 [4 per cell]  8 Tb 3.08-3.43, 2 Ga 3.14
Ga 0.1106 0.1210 0.4756 [8 per cell]  1 Ga 2.54
H 0.0000 0.2522 0.9250 [4 per cell]  4 Tb 2.23-2.30

Computed properties:
spin magnetization	0.00	Bohr magnetons per cell
crystal system	orthorhombic
total DFT energy (no corrections)	-4.416	eV per atom



DFT (PBE) results for a geometry-optimized Li4Ru3 structure.

Cell lengths 5.0046, 5.0046, 4.9031 Å; angles 90.00, 90.00, 120.00 degrees
With the nearest neighbours (Å) after each atom.
Space group P6/mmm (No. 191)
Unique sites:
Li 0.0000 0.0000 0.2409 [2 per cell]  2 Li 2.36-2.54
Li 0.3333 0.6667 0.5000 [2 per cell]  6 Ru 2.85, 9 Li 2.89-3.16
Ru 0.0000 0.5000 0.0000 [3 per cell]  4 Ru 2.50, 4 Li 2.77

Computed properties:
spin magnetization	0.00	Bohr magnetons per cell
energy of formation from the pure elements	1.19	eV/f.u.
crystal system	hexagonal
total DFT energy (no corrections)	-4.899	eV per atom



DFT (PBE) results for a geometry-optimized MgOsO structure.

Cell lengths 2.8843, 2.8843, 8.3732 Å; angles 90.00, 90.00, 90.00 degrees
With the nearest neighbours (Å) after each atom.
Space group P4/nmm (No. 129, origin choice 2)
Unique sites:
Mg 0.2500 0.2500 0.1416 [2 per cell]  5 O 2.04-2.26
Os 0.2500 0.2500 0.5965 [2 per cell]  1 O 2.31
O 0.2500 0.2500 0.8721 [2 per cell]  5 Mg 2.04-2.26

Computed properties:
spin magnetization	0.00	Bohr magnetons per cell
energy relative to the elements, uncorrected	-1.2934	eV/atom
crystal system	tetragonal
total DFT energy (no corrections)	-7.221	eV per atom



DFT (PBE) results for a geometry-optimized La2CoSiH structure.

Cell lengths 5.1590, 5.1590, 3.6563 Å; angles 90.00, 90.00, 90.00 degrees
With the nearest neighbours (Å) after each atom.
Space group P4/mmm (No. 123)
Unique sites:
La 0.0000 0.5000 0.0000 [2 per cell]  2 H 2.58
Co 0.0000 0.0000 0.5000 [1 per cell]  2 H 1.83
Si 0.5000 0.5000 0.5000 [1 per cell]  8 La 3.16
H 0.0000 0.0000 0.0000 [1 per cell]  2 Co 1.83

Computed properties:
spin magnetization	0.76	Bohr magnetons per cell
crystal system	tetragonal
total DFT energy (no corrections)	-5.450	eV per atom



DFT (PBE) results for a geometry-optimized ScAsIr3 structure.

Cell lengths 4.5723, 4.5723, 4.5723 Å; angles 90.00, 90.00, 90.00 degrees
With the nearest neighbours (Å) after each atom.
Space group Pm-3m (No. 221)
Unique sites:
Sc 0.0000 0.0000 0.0000 [1 per cell]  12 Ir 3.23
As 0.5000 0.5000 0.5000 [1 per cell]  6 Ir 2.29
Ir 0.0000 0.5000 0.5000 [3 per cell]  2 As 2.29

Computed properties:
spin magnetization	0.00	Bohr magnetons per cell
energy of formation from the pure elements	1.92	eV/f.u.
crystal system	cubic
total DFT energy (no corrections)	-7.129	eV per atom



DFT (PBE) results for a geometry-optimized Y2TmTh4 structure.

Cell lengths 9.2485, 9.2485, 5.6445 Å; angles 90.00, 90.00, 90.00 degrees
With the nearest neighbours (Å) after each atom.
Space group P4_2/mnm (No. 136)
Unique sites:
Y 0.1740 0.1740 0.0000 [4 per cell]  6 Th 3.41-3.44, 2 Tm 3.63
Tm 0.0000 0.0000 0.5000 [2 per cell]  4 Th 3.58, 4 Y 3.63
Th 0.1104 0.3707 0.5000 [8 per cell]  2 Th 3.15-3.40, 3 Y 3.41-3.44

Computed properties:
spin magnetization	0.00	Bohr magnetons per cell
energy of formation from the pure elements	2.40	eV/f.u.
crystal system	tetragonal
total DFT energy (no corrections)	-6.383	eV per atom



DFT (PBE) results for a geometry-optimized MnCu8Au6 structure.

Cell lengths 6.9055, 6.9055, 17.0539 Å; angles 90.00, 90.00, 120.00 degrees
With the nearest neighbours (Å) after each atom.
Space group R-3 (No. 148, hexagonal axes)
Unique sites:
Mn 0.0000 0.0000 0.0000 [3 per cell]  6 Cu 2.61
Cu 0.0000 0.0000 0.2494 [6 per cell]  3 Au 2.60, 6 Cu 2.64-2.77
Cu 0.0200 0.2318 0.8765 [18 per cell]  1 Cu 2.32, 1 Au 2.49
Au 0.0226 0.2526 0.3954 [18 per cell]  3 Cu 2.49-2.76, 1 Au 2.73

Computed properties:
spin magnetization	13.13	Bohr magnetons per cell
energy of formation from the pure elements	1.53	eV/f.u.
crystal system	trigonal
total DFT energy (no corrections)	-4.005	eV per atom



DFT (PBE) results for a geometry-optimized Pu2Ni6Pt structure.

Cell lengths 8.7437, 5.1292, 6.1768 Å; angles 90.00, 102.69, 90.00 degrees
With the nearest neighbours (Å) after each atom.
Space group C2/m (No. 12)
Unique sites:
Pu 0.1480 0.0000 0.3580 [4 per cell]  6 Ni 2.80-2.84, 3 Pt 3.01-3.09
Ni 0.1190 0.5000 0.1644 [4 per cell]  7 Ni 2.40-2.57, 1 Pt 2.52
Ni 0.1343 0.2405 0.8472 [8 per cell]  6 Ni 2.40-2.66, 1 Pt 2.58
Pt 0.0000 0.5000 0.5000 [2 per cell]  6 Ni 2.52-2.58

Computed properties:
spin magnetization	16.24	Bohr magnetons per cell
energy of formation from the pure elements	-2.17	eV/f.u.
crystal system	monoclinic
total DFT energy (no corrections)	-7.951	eV per atom



DFT (PBE) results for a geometry-optimized TbHoGaNi structure.

Cell lengths 4.3536, 3.7234, 10.8327 Å; angles 90.00, 90.00, 90.00 degrees
With the nearest neighbours (Å) after each atom.
Space group Amm2 (No. 38)
Unique sites:
Tb 0.0000 0.0000 0.0000 [2 per cell]  3 Ni 2.92-3.16, 4 Ga 2.97
Ho 0.5000 0.0000 0.7169 [2 per cell]  3 Ga 2.96-3.12, 4 Ni 2.98
Ga 0.5000 0.0000 0.4291 [2 per cell]  2 Ni 2.64
Ni 0.0000 0.0000 0.2918 [2 per cell]  2 Ga 2.64, 2 Tb 2.92

Computed properties:
spin magnetization	0.00	Bohr magnetons per cell
energy of formation from the pure elements	-1.99	eV/f.u.
crystal system	orthorhombic
total DFT energy (no corrections)	-5.001	eV per atom



DFT (PBE) results for a geometry-optimized Cu3Ge structure.

Cell lengths 5.3096, 5.3096, 4.2041 Å; angles 90.00, 90.00, 120.00 degrees
With the nearest neighbours (Å) after each atom.
Space group P6_3/mmc (No. 194)
Unique sites:
Cu 0.1646 0.3292 0.2500 [6 per cell]  8 Cu 2.59-2.69, 4 Ge 2.61-2.65
Ge 0.3333 0.6667 0.7500 [2 per cell]  12 Cu 2.61-2.65

Computed properties:
spin magnetization	0.00	Bohr magnetons per cell
energy of formation from the pure elements	-0.02	eV/f.u.
crystal system	hexagonal
total DFT energy (no corrections)	-4.232	eV per atom